Record 1
Here is a geometry-optimized RbTe4 structure from Alexandria. Energies are from PBE-GGA.

Structure (POSCAR):
```
RbTe4
1.0
-3.679 3.679 3.425
3.679 -3.679 3.425
3.679 3.679 -3.425
Rb Te
1 4
Cartesian
0.000 0.000 0.000
3.679 1.516 0.000
1.516 3.679 0.000
2.163 0.000 3.425
0.000 2.163 3.425
```

Computed properties:
The calculation puts the energy above the most stable polymorph in this dataset at 1.81 kcal/mol of atoms. As for the uncorrected formation energy: -18.6 kJ per mole of atoms.

Record 2
Here is a geometry-optimized Zr3Co3Si structure from Alexandria. Energies are from PBE-GGA.

Structure (POSCAR):
```
Zr3Co3Si
1.0
4.812 -1.788 0.000
4.812 1.788 0.000
-4.218 0.000 12.956
Zr Co Si
6 6 2
Cartesian
-1.512 0.000 4.914
-2.845 0.000 11.996
1.379 0.000 2.874
4.026 0.000 10.082
8.250 0.000 0.960
6.918 0.000 8.042
1.337 0.000 6.070
-0.172 0.000 11.997
1.345 0.000 10.035
4.061 0.000 2.921
5.577 0.000 0.959
4.068 0.000 6.886
0.027 0.000 8.038
5.378 0.000 4.918
```

Computed properties:
As for the uncorrected formation energy: -48.1 kJ per mole of atoms.